First-principles (GGA-PBE) data for a relaxed structure of Pm5TeP4, as listed in the Alexandria database.

```
Pm5TeP4
1.0
-2.197 -0.734 -3.469
4.869 -2.260 -2.605
-3.849 -8.089 6.656
Pm P Te
5 4 1
Direct
0.387 0.887 0.774
0.613 0.113 0.226
0.801 0.301 0.603
0.000 0.500 0.000
0.199 0.699 0.397
0.600 0.600 0.200
0.203 0.203 0.407
0.797 0.797 0.593
0.400 0.400 0.800
0.000 0.000 0.000
```

Electronic total energy: -6.41 eV/atom
M_tot: 0.0 μB per formula unit
Formation energy from raw total energies: -1553 meV/atom

=====

First-principles (GGA-PBE) data for a relaxed structure of Pm5Te4P, as listed in the Alexandria database.

```
Pm5Te4P
1.0
-1.355 -5.783 1.798
6.136 -4.443 1.041
-0.360 -0.887 7.587
Te Pm P
4 5 1
Direct
0.592 0.602 0.217
0.410 0.398 0.783
0.194 0.217 0.398
0.808 0.783 0.602
0.096 0.639 0.172
0.907 0.361 0.828
0.268 0.828 0.639
0.734 0.172 0.361
0.501 0.000 0.000
0.001 0.000 0.000
```

Electronic total energy: -5.65 eV/atom
M_tot: 0.0 μB per formula unit
Polymorph energy (0 for the lowest one): 0 meV per atom
Formation energy from raw total energies: -1475 meV/atom

=====

First-principles (GGA-PBE) data for a relaxed structure of Pm3Te2P, as listed in the Alexandria database.

```
Pm3Te2P
1.0
-1.921 -3.591 -6.234
1.326 -5.904 4.536
-6.254 4.106 1.107
Pm P Te
6 2 4
Direct
0.500 0.000 0.500
0.000 0.500 0.000
0.005 0.219 0.363
0.495 0.637 0.781
0.505 0.363 0.219
0.995 0.781 0.637
0.750 0.411 0.589
0.250 0.589 0.411
0.250 0.240 0.760
0.750 0.080 0.920
0.750 0.760 0.240
0.250 0.920 0.080
```

Electronic total energy: -5.82 eV/atom
M_tot: 0.0 μB per formula unit
Polymorph energy (0 for the lowest one): 32 meV per atom
Formation energy from raw total energies: -1501 meV/atom

=====

- The lowest electronic total energy belongs to which entry?
  Pm5TeP4

=====

- Among the records above, which one has the highest electronic total energy?
  Pm5Te4P

=====

Please write out number 3 again, unchanged.
First-principles (GGA-PBE) data for a relaxed structure of Pm3Te2P, as listed in the Alexandria database.

```
Pm3Te2P
1.0
-1.921 -3.591 -6.234
1.326 -5.904 4.536
-6.254 4.106 1.107
Pm P Te
6 2 4
Direct
0.500 0.000 0.500
0.000 0.500 0.000
0.005 0.219 0.363
0.495 0.637 0.781
0.505 0.363 0.219
0.995 0.781 0.637
0.750 0.411 0.589
0.250 0.589 0.411
0.250 0.240 0.760
0.750 0.080 0.920
0.750 0.760 0.240
0.250 0.920 0.080
```

Electronic total energy: -5.82 eV/atom
M_tot: 0.0 μB per formula unit
Polymorph energy (0 for the lowest one): 32 meV per atom
Formation energy from raw total energies: -1501 meV/atom

=====

- Which of these has the highest electronic total energy?
  Pm5Te4P